1.
Here is a relaxed ErAgNO crystal from OQMD. Energies are from PBE.

Properties
As for the space group: Pmc2_1. The volume is 64.44 Å³/f.u. The final energy is -6.153 eV/atom. For the total moment, the calculation gives 0.007 Bohr magnetons per cell.

Cell lengths 3.758, 6.191, 5.540 Å; angles 90.00, 90.00, 90.00 degrees
Fractional coordinates of all 8 atoms:
Er1 0.000 0.202 0.000
Er2 0.000 0.798 0.500
Ag1 0.500 0.278 0.491
Ag2 0.500 0.722 0.991
N1 0.000 0.146 0.400
N2 0.000 0.854 0.900
O1 0.500 0.344 0.910
O2 0.500 0.656 0.410


2.
Here is a relaxed CsRbCdSn crystal from OQMD. Energies are from PBE.

Properties
As for the space group: P2_1/m. The volume is 180.82 Å³/f.u. The final energy is -1.898 eV/atom.

Cell lengths 7.295, 6.963, 7.429 Å; angles 90.00, 106.59, 90.00 degrees
Fractional coordinates of all 8 atoms:
Cs1 0.024 0.250 0.183
Cs2 0.976 0.750 0.817
Rb1 0.321 0.750 0.480
Rb2 0.679 0.250 0.520
Cd1 0.500 0.000 0.000
Cd2 0.500 0.500 0.000
Sn1 0.254 0.250 0.742
Sn2 0.746 0.750 0.258


3.
Here is a relaxed BaCdCl4 crystal from OQMD. Energies are from PBE.

Properties
As for the space group: Pnna. The volume is 185.73 Å³/f.u. The final energy is -3.498 eV/atom.

Cell lengths 7.650, 10.112, 9.604 Å; angles 90.00, 90.00, 90.00 degrees
Fractional coordinates of all 24 atoms:
Ba1 0.184 0.250 0.250
Ba2 0.316 0.750 0.250
Ba3 0.684 0.250 0.750
Ba4 0.816 0.750 0.750
Cd1 0.250 0.000 0.680
Cd2 0.250 0.500 0.820
Cd3 0.750 0.000 0.320
Cd4 0.750 0.500 0.180
Cl1 0.025 0.535 0.314
Cl2 0.025 0.965 0.186
Cl3 0.148 0.698 0.952
Cl4 0.148 0.802 0.548
Cl5 0.352 0.198 0.548
Cl6 0.352 0.302 0.952
Cl7 0.475 0.035 0.186
Cl8 0.475 0.465 0.314
Cl9 0.525 0.535 0.686
Cl10 0.525 0.965 0.814
Cl11 0.648 0.698 0.048
Cl12 0.648 0.802 0.452
Cl13 0.852 0.198 0.452
Cl14 0.852 0.302 0.048
Cl15 0.975 0.035 0.814
Cl16 0.975 0.465 0.686


4.
Here is a relaxed PmPtW crystal from OQMD. Energies are from PBE.

Properties
As for the space group: F-43m. The volume is 72.79 Å³/f.u. The final energy is -6.727 eV/atom. For the total moment, the calculation gives 2.831 Bohr magnetons per cell. For the energy of formation from the pure elements, the calculation gives 1.193 eV per atom.

Cell lengths 4.687, 4.687, 4.687 Å; angles 60.00, 60.00, 60.00 degrees
Fractional coordinates of all 3 atoms:
Pm1 0.000 0.000 0.000
Pt1 0.750 0.750 0.750
W1 0.250 0.250 0.250